No. 1
Density functional theory data (GGA-PBE) for a relaxed LaSn2MoW crystal.

Summary:
Its crystal system is tetragonal. The formation enthalpy at 0 K is 1.0315 eV per atom.

Unit cell a=5.2967 b=5.2823 c=5.2967 alpha=90.00 beta=90.00 gamma=90.00
With the nearest neighbours (Å) after each atom.
Fractional positions:
1 Sn 0.0000 0.0000 0.5000  2 W 2.65
2 Sn 0.5000 0.0000 0.0000  2 W 2.65
3 La 0.0000 0.5000 0.0000  2 W 2.64
4 Mo 0.5000 0.5000 0.5000  8 Sn 3.74, 4 La 3.75
5 W 0.0000 0.0000 0.0000  2 La 2.64, 4 Sn 2.65

No. 2
Density functional theory data (GGA-PBE) for a relaxed K3PrSc2Se6 crystal.

Summary:
The value obtained for the formation energy from raw total energies is -1.65 eV/atom. Its crystal system is monoclinic.

Unit cell a=7.1723 b=7.1723 c=8.0266 alpha=98.61 beta=98.61 gamma=120.02
With the nearest neighbours (Å) after each atom.
Fractional positions:
1 Se 0.4221 0.0672 0.2006  2 Sc 2.78, 1 Pr 2.97
2 Se 0.2881 0.2881 0.8003  2 Sc 2.78, 1 Pr 2.97
3 Se 0.5779 0.9328 0.7994  2 Sc 2.78, 1 Pr 2.97
4 Se 0.0672 0.4221 0.2006  2 Sc 2.78, 1 Pr 2.97
5 Se 0.7119 0.7119 0.1997  2 Sc 2.78, 1 Pr 2.97
6 Se 0.9328 0.5779 0.7994  2 Sc 2.78, 1 Pr 2.97
7 K 0.1625 0.8375 0.5000  6 Se 3.23-3.38
8 K 0.8375 0.1625 0.5000  6 Se 3.23-3.38
9 K 0.5000 0.5000 0.5000  6 Se 3.21-3.37
10 Sc 0.6672 0.3328 0.0000  6 Se 2.78
11 Sc 0.3328 0.6672 0.0000  6 Se 2.78
12 Pr 0.0000 0.0000 0.0000  6 Se 2.97

| no. | final energy (eV for the cell shown) |
| --- | --- |
| 1 | -31.56 |
| 2 | -61.42 |